Record 1
Below is a relaxed Ca2GaFe2Rh5 crystal, with properties calculated at the GGA-PBE level.

Unit cell a=10.227 b=10.227 c=3.171 alpha=90.00 beta=90.00 gamma=90.00
Space group P4/mbm (No. 127)
Unique sites:
Ca 0.173 0.327 0.000
Ga 0.000 0.000 0.000
Fe 0.131 0.631 0.000
Rh 0.000 0.500 0.500
Rh 0.060 0.804 0.500

---

Record 2
Below is a relaxed CaZn2GaFe crystal, with properties calculated at the GGA-PBE level.

Unit cell a=4.648 b=4.648 c=4.541 alpha=90.00 beta=90.00 gamma=90.00
Space group P4/mmm (No. 123)
Unique sites:
Ca 0.000 0.000 0.000
Zn 0.000 0.500 0.500
Ga 0.500 0.500 0.000
Fe 0.500 0.500 0.500

---

Record 3
Below is a relaxed Ca2FeGe2 crystal, with properties calculated at the GGA-PBE level.

Unit cell a=6.740 b=6.740 c=4.655 alpha=90.00 beta=90.00 gamma=90.00
Space group P4/mbm (No. 127)
Unique sites:
Ca 0.170 0.330 0.000
Fe 0.000 0.000 0.500
Ge 0.142 0.642 0.500

---

Record 4
Below is a relaxed CaFe2Ge3 crystal, with properties calculated at the GGA-PBE level.

Unit cell a=9.814 b=7.447 c=5.373 alpha=90.00 beta=90.00 gamma=90.00
Space group Cmcm (No. 63)
Unique sites:
Ca 0.000 0.153 0.250
Fe 0.197 0.500 0.000
Ge 0.000 0.451 0.750
Ge 0.189 0.212 0.750

---

Record 5
Below is a relaxed CaFeGe3 crystal, with properties calculated at the GGA-PBE level.

Unit cell a=5.229 b=5.229 c=5.229 alpha=90.00 beta=90.00 gamma=90.00
Space group Pm-3m (No. 221)
Unique sites:
Ca 0.000 0.000 0.000
Fe 0.500 0.500 0.500
Ge 0.000 0.000 0.500

---

Record 6
Below is a relaxed Ca3FeGe crystal, with properties calculated at the GGA-PBE level.

Unit cell a=5.273 b=5.273 c=5.273 alpha=90.00 beta=90.00 gamma=90.00
Space group Pm-3m (No. 221)
Unique sites:
Ca 0.000 0.000 0.500
Fe 0.000 0.000 0.000
Ge 0.500 0.500 0.500

---

Record 7
Below is a relaxed CaFeGe3 crystal, with properties calculated at the GGA-PBE level.

Unit cell a=4.667 b=4.667 c=4.667 alpha=90.00 beta=90.00 gamma=90.00
Space group Pm-3m (No. 221)
Unique sites:
Ca 0.000 0.000 0.000
Fe 0.500 0.500 0.500
Ge 0.000 0.500 0.500

---

Record 8
Below is a relaxed CaFe3Ge3 crystal, with properties calculated at the GGA-PBE level.

Unit cell a=6.545 b=6.545 c=6.545 alpha=90.00 beta=90.00 gamma=90.00
Space group Pm-3n (No. 223)
Unique sites:
Ca 0.000 0.000 0.000
Fe 0.000 0.250 0.500
Ge 0.000 0.500 0.250

---

Record 9
Below is a relaxed CaFe4Ge12 crystal, with properties calculated at the GGA-PBE level.

Unit cell a=8.498 b=8.498 c=8.498 alpha=90.00 beta=90.00 gamma=90.00
Space group Im-3 (No. 204)
Unique sites:
Ca 0.000 0.000 0.000
Fe 0.250 0.250 0.250
Ge 0.000 0.342 0.168

---

Record 10
Below is a relaxed CaFe2Ge7 crystal, with properties calculated at the GGA-PBE level.

Unit cell a=8.390 b=10.198 c=4.572 alpha=90.00 beta=90.00 gamma=90.00
Space group Cmmm (No. 65)
Unique sites:
Ca 0.000 0.000 0.000
Fe 0.000 0.281 0.500
Ge 0.000 0.345 0.000
Ge 0.000 0.500 0.500
Ge 0.211 0.124 0.500

---

Record 11
Below is a relaxed CaFeGe3 crystal, with properties calculated at the GGA-PBE level.

Unit cell a=8.120 b=4.141 c=10.587 alpha=90.00 beta=90.00 gamma=90.00
Space group Pnma (No. 62)
Unique sites:
Ca 0.189 0.250 0.021
Fe 0.079 0.250 0.345
Ge 0.060 0.250 0.577
Ge 0.132 0.750 0.220
Ge 0.134 0.750 0.804

---

Record 12
Below is a relaxed CaFe6Ge6 crystal, with properties calculated at the GGA-PBE level.

Unit cell a=5.099 b=8.163 c=8.817 alpha=90.00 beta=90.00 gamma=90.00
Space group Immm (No. 71)
Unique sites:
Ca 0.000 0.000 0.000
Fe 0.000 0.248 0.500
Fe 0.250 0.250 0.250
Ge 0.000 0.000 0.336
Ge 0.000 0.346 0.000
Ge 0.000 0.500 0.331

---

Number 1: E_form -235 kJ/mol of formula units. Number 2: E_form -47 kJ/mol of formula units. Number 3: E_form -150 kJ/mol of formula units. Number 4: E_form -128 kJ/mol of formula units. Number 5: E_form 867 kJ/mol of formula units. Number 6: E_form 181 kJ/mol of formula units. Number 7: E_form -16 kJ/mol of formula units. Number 8: E_form 148 kJ/mol of formula units. Number 9: E_form 124 kJ/mol of formula units. Number 10: E_form 64 kJ/mol of formula units. Number 11: E_form -142 kJ/mol of formula units. Number 12: E_form -275 kJ/mol of formula units.